Sm2ZnI | PBE | optimized geometry

Results
**Symmetry**: No. 160
**Formation energy from raw total energies**: -0.55 eV per atom
**Offset from the most stable computed form**: 0 meV/atom
**Crystal system**: trigonal
**Electronic total energy**: -3.613 eV/atom

a b c (Å): 4.011 4.011 25.220
angles (deg): 90.00 90.00 120.00
Fractional coordinates of all 12 atoms:
Sm: 0.000 0.000 0.000
Sm: 0.000 0.000 0.185
Sm: 0.333 0.667 0.667
Sm: 0.333 0.667 0.852
Sm: 0.667 0.333 0.333
Sm: 0.667 0.333 0.519
Zn: 0.000 0.000 0.593
Zn: 0.333 0.667 0.260
Zn: 0.667 0.333 0.927
I: 0.000 0.000 0.425
I: 0.333 0.667 0.092
I: 0.667 0.333 0.759